Below is a relaxed K6Se2O9 crystal, with properties calculated at the PBE level.

Output
The value obtained for the total energy is -4.79 eV per atom. The calculation puts the uncorrected formation energy at -1.36 eV per atom. As for the space group: No. 92.

Cell lengths 8.279, 8.279, 17.726 Å; angles 90.00, 90.00, 90.00 degrees
Element x y z (fractional)
1 K 0.002 0.042 0.396
2 K 0.003 0.473 0.373
3 K 0.027 0.503 0.623
4 K 0.042 0.002 0.604
5 K 0.210 0.225 0.755
6 K 0.225 0.210 0.245
7 K 0.275 0.710 0.005
8 K 0.290 0.725 0.495
9 K 0.458 0.502 0.646
10 K 0.473 0.003 0.627
11 K 0.497 0.973 0.877
12 K 0.498 0.542 0.854
13 K 0.502 0.458 0.354
14 K 0.503 0.027 0.377
15 K 0.527 0.997 0.127
16 K 0.542 0.498 0.146
17 K 0.710 0.275 0.995
18 K 0.725 0.290 0.505
19 K 0.775 0.790 0.745
20 K 0.790 0.775 0.255
21 K 0.958 0.998 0.104
22 K 0.973 0.497 0.123
23 K 0.997 0.527 0.873
24 K 0.998 0.958 0.896
25 Se 0.234 0.234 0.000
26 Se 0.246 0.754 0.750
27 Se 0.254 0.254 0.500
28 Se 0.266 0.734 0.250
29 Se 0.734 0.266 0.750
30 Se 0.746 0.746 0.000
31 Se 0.754 0.246 0.250
32 Se 0.766 0.766 0.500
33 O 0.038 0.263 0.981
34 O 0.046 0.299 0.502
35 O 0.095 0.905 0.750
36 O 0.154 0.784 0.326
37 O 0.201 0.546 0.752
38 O 0.216 0.846 0.174
39 O 0.237 0.538 0.231
40 O 0.240 0.753 0.646
41 O 0.247 0.760 0.854
42 O 0.253 0.260 0.396
43 O 0.260 0.253 0.604
44 O 0.263 0.038 0.019
45 O 0.284 0.346 0.076
46 O 0.299 0.046 0.498
47 O 0.346 0.284 0.924
48 O 0.405 0.405 0.500
49 O 0.454 0.799 0.748
50 O 0.462 0.763 0.269
51 O 0.538 0.237 0.769
52 O 0.546 0.201 0.248
53 O 0.595 0.595 0.000
54 O 0.654 0.716 0.424
55 O 0.701 0.954 0.998
56 O 0.716 0.654 0.576
57 O 0.737 0.962 0.519
58 O 0.740 0.747 0.104
59 O 0.747 0.740 0.896
60 O 0.753 0.240 0.354
61 O 0.760 0.247 0.146
62 O 0.763 0.462 0.731
63 O 0.784 0.154 0.674
64 O 0.799 0.454 0.252
65 O 0.846 0.216 0.826
66 O 0.905 0.095 0.250
67 O 0.954 0.701 0.002
68 O 0.962 0.737 0.481